No. 1
Computed, not measured: Te3Se2S2 after structural relaxation at the PBE level of DFT.

a b c (Å): 3.703 7.249 8.715
angles (deg): 66.25 77.91 89.93
Fractional positions:
Te1 0.000 0.000 0.000
Te2 0.247 0.302 0.506
Te3 0.753 0.698 0.494
Se1 0.153 0.745 0.699
Se2 0.847 0.255 0.301
S1 0.470 0.221 0.059
S2 0.530 0.779 0.941

Output
volume	208.46	Å³/f.u.
formation energy without anion corrections	0.178	eV/atom
size of the total moment	0.0	Bohr magnetons per cell
total energy	-3.344	eV per atom
symmetry	P-1 (2)
N(E_F)	3.13	states/eV per cell

No. 2
Computed, not measured: TeSe2S after structural relaxation at the PBE level of DFT.

a b c (Å): 6.440 6.440 6.440
angles (deg): 111.45 111.45 105.59
Fractional positions:
Te1 0.000 0.000 0.000
Te2 0.750 0.250 0.500
Se1 0.146 0.625 0.021
Se2 0.375 0.396 0.521
Se3 0.604 0.125 0.979
Se4 0.875 0.854 0.479
S1 0.250 0.750 0.500
S2 0.500 0.500 0.000

Output
volume	102.43	Å³/f.u.
formation energy without anion corrections	0.339	eV/atom
size of the total moment	0.0	Bohr magnetons per cell
total energy	-3.220	eV per atom
symmetry	I-42d (122)
N(E_F)	0.06	states/eV per cell

No. 3
Computed, not measured: TeSe2S after structural relaxation at the PBE level of DFT.

a b c (Å): 8.540 8.540 8.540
angles (deg): 27.54 27.54 27.54
Fractional positions:
Te1 0.000 0.000 0.000
Se1 0.406 0.406 0.406
Se2 0.594 0.594 0.594
S1 0.500 0.500 0.500

Output
volume	117.54	Å³/f.u.
formation energy without anion corrections	0.287	eV/atom
size of the total moment	0.0	Bohr magnetons per cell
total energy	-3.273	eV per atom
symmetry	R-3m (166)
N(E_F)	2.33	states/eV per cell

No. 4
Computed, not measured: Te2Se2S after structural relaxation at the PBE level of DFT.

a b c (Å): 6.721 7.144 8.457
angles (deg): 108.37 90.07 118.03
Fractional positions:
Te1 0.019 0.039 0.242
Te2 0.341 0.683 0.422
Te3 0.659 0.317 0.578
Te4 0.981 0.961 0.758
Se1 0.165 0.331 0.553
Se2 0.495 0.989 0.728
Se3 0.505 0.011 0.272
Se4 0.835 0.669 0.447
S1 0.152 0.306 0.101
S2 0.848 0.694 0.899

Output
volume	167.34	Å³/f.u.
formation energy without anion corrections	0.077	eV/atom
size of the total moment	0.0	Bohr magnetons per cell
total energy	-3.399	eV per atom
symmetry	P-1 (2)
N(E_F)	3.35	states/eV per cell